# 1
First-principles (PBE) data for crystalline AsIr2RhPb at its relaxed geometry, as listed in Alexandria via LeMat-Bulk.

Cell lengths 4.963, 4.963, 4.521 Å; angles 90.00, 90.00, 90.00 degrees
Atoms (fractional coordinates):
As: 0.000 0.000 0.000
Ir: 0.000 0.500 0.500
Ir: 0.500 0.000 0.500
Rh: 0.000 0.000 0.500
Pb: 0.500 0.500 0.000

## Properties
Volume   22.28 Å³ per atom
Crystal system   tetragonal
Uncorrected energy   -27.88 eV per cell
Energy relative to the elements   5.55 eV per formula unit

=====

# 2
First-principles (PBE) data for crystalline Ac2PmRh2 at its relaxed geometry, as listed in Alexandria via LeMat-Bulk.

Cell lengths 6.172, 4.369, 11.162 Å; angles 90.00, 96.79, 90.00 degrees
Atoms (fractional coordinates):
Ac: 0.103 0.250 0.280
Ac: 0.374 0.250 0.625
Ac: 0.626 0.750 0.375
Ac: 0.897 0.750 0.720
Pm: 0.275 0.250 0.963
Pm: 0.725 0.750 0.037
Rh: 0.149 0.750 0.460
Rh: 0.402 0.750 0.823
Rh: 0.598 0.250 0.177
Rh: 0.851 0.250 0.540

## Properties
Volume   29.89 Å³ per atom
Crystal system   monoclinic
Uncorrected energy   -61.12 eV per cell
Relative energy among the computed polymorphs   0.028 eV per atom
Energy relative to the elements   -2.89 eV per formula unit

=====

# 3
First-principles (PBE) data for crystalline PmHoCuSb at its relaxed geometry, as listed in Alexandria via LeMat-Bulk.

Cell lengths 5.185, 5.185, 5.185 Å; angles 60.00, 60.00, 60.00 degrees
Atoms (fractional coordinates):
Pm: 0.000 0.000 0.000
Ho: 0.500 0.500 0.500
Cu: 0.250 0.250 0.250
Sb: 0.750 0.750 0.750

## Properties
Formation energy without anion corrections   -46 kJ/mol of atoms
Volume   24.64 Å³ per atom
Crystal system   cubic
Uncorrected energy   -19.44 eV per cell